A plane-wave DFT calculation with PBEsol was carried out for Zn2AgMo after structural relaxation.

a = 5.4501 Å, b = 5.4501 Å, c = 5.4501 Å
α = 151.53°, β = 129.62°, γ = 58.88°
Fractional positions:
Zn: 0.0000 0.0000 0.0000
Zn: 0.7674 0.2674 0.5000
Ag: 0.2444 0.7444 0.5000
Mo: 0.5171 0.5171 0.0000

Summary:
Energy relative to the elements (meV per atom): 230
Magnetization (μB per atom): 0.0000
DOS(E_F) (states/eV per cell): 2.20
SG: No. 44